First-principles (PBE) data for a relaxed Ba2RhAu crystal, as listed in Alexandria via LeMat-Bulk.

Unit cell a=8.153 b=8.153 c=8.153 alpha=32.50 beta=32.50 gamma=32.50
Sites, in units of the cell vectors:
1 Ba 0.740 0.740 0.740
2 Ba 0.260 0.260 0.260
3 Rh 0.000 0.000 0.000
4 Au 0.500 0.500 0.500

Calculated values
Size of the total moment in Bohr magnetons per cell: 0.0
SG: R-3m (166)
Formation energy from the elements in eV/atom: -0.286

First-principles (PBE) data for a relaxed Er2ScPaP4 crystal, as listed in Alexandria via LeMat-Bulk.

Unit cell a=3.929 b=6.752 c=6.797 alpha=109.47 beta=90.00 gamma=90.00
Sites, in units of the cell vectors:
1 P 0.000 0.246 0.755
2 P 0.500 0.757 0.760
3 P 0.000 0.754 0.245
4 P 0.500 0.243 0.240
5 Er 0.500 0.000 0.500
6 Er 0.000 0.500 0.500
7 Sc 0.000 0.000 0.000
8 Pa 0.500 0.500 0.000

Calculated values
Size of the total moment in Bohr magnetons per cell: 0.0
SG: P2/m (10)
Formation energy from the elements in eV/atom: -1.502

First-principles (PBE) data for a relaxed PmHoTm2Sc crystal, as listed in Alexandria via LeMat-Bulk.

Unit cell a=7.051 b=8.124 c=6.900 alpha=126.06 beta=90.00 gamma=90.00
Sites, in units of the cell vectors:
1 Pm 0.250 0.730 0.460
2 Pm 0.750 0.270 0.540
3 Tm 0.000 0.304 0.000
4 Tm 0.500 0.304 0.000
5 Tm 0.500 0.696 0.000
6 Tm 0.000 0.696 0.000
7 Ho 0.750 0.731 0.462
8 Ho 0.250 0.269 0.538
9 Sc 0.250 0.996 0.993
10 Sc 0.750 0.004 0.007

Calculated values
Size of the total moment in Bohr magnetons per cell: 0.0
SG: Cmcm (63)
Formation energy from the elements in eV/atom: 0.334

First-principles (PBE) data for a relaxed LiLa2AsC crystal, as listed in Alexandria via LeMat-Bulk.

Unit cell a=5.135 b=5.135 c=4.232 alpha=90.00 beta=90.00 gamma=90.00
Sites, in units of the cell vectors:
1 C 0.000 0.000 0.000
2 As 0.500 0.500 0.500
3 La 0.500 0.000 0.000
4 La 0.000 0.500 0.000
5 Li 0.000 0.000 0.500

Calculated values
Size of the total moment in Bohr magnetons per cell: 0.0
SG: P4/mmm (123)
Formation energy from the elements in eV/atom: -0.565

First-principles (PBE) data for a relaxed Ba2ZnIrCl crystal, as listed in Alexandria via LeMat-Bulk.

Unit cell a=5.992 b=5.992 c=4.549 alpha=90.00 beta=90.00 gamma=90.00
Sites, in units of the cell vectors:
1 Ba 0.000 0.500 0.000
2 Ba 0.500 0.000 0.000
3 Ir 0.000 0.000 0.500
4 Zn 0.500 0.500 0.500
5 Cl 0.000 0.000 0.000

Calculated values
Size of the total moment in Bohr magnetons per cell: 0.0
SG: P4/mmm (123)
E above lowest polymorph in eV per formula unit: 2.78
Uncorrected formation energy in eV per atom: -0.175

First-principles (PBE) data for a relaxed Pm2Er6Ni crystal, as listed in Alexandria via LeMat-Bulk.

Unit cell a=3.569 b=9.205 c=9.667 alpha=118.43 beta=90.02 gamma=90.00
Sites, in units of the cell vectors:
1 Er 0.000 0.667 0.669
2 Er 0.500 0.213 0.000
3 Er 0.000 0.998 0.331
4 Er 0.000 0.333 0.331
5 Er 0.000 0.002 0.669
6 Er 0.500 0.787 0.000
7 Pm 0.500 0.331 0.663
8 Pm 0.500 0.669 0.337
9 Ni 0.000 0.000 0.000

Calculated values
Size of the total moment in Bohr magnetons per cell: 0.0
SG: Cmmm (65)
Formation energy from the elements in eV/atom: 0.112

First-principles (PBE) data for a relaxed KZn2CrRe crystal, as listed in Alexandria via LeMat-Bulk.

Unit cell a=5.030 b=4.344 c=5.030 alpha=90.00 beta=90.00 gamma=90.00
Sites, in units of the cell vectors:
1 Cr 0.000 0.000 0.000
2 Zn 0.000 0.000 0.500
3 Zn 0.500 0.000 0.000
4 K 0.500 0.500 0.500
5 Re 0.000 0.500 0.000

Calculated values
Size of the total moment in Bohr magnetons per cell: 0.0
SG: P4/mmm (123)
Formation energy from the elements in eV/atom: 0.949

First-principles (PBE) data for a relaxed TiCSe2N crystal, as listed in Alexandria via LeMat-Bulk.

Unit cell a=5.016 b=5.016 c=3.736 alpha=90.00 beta=90.00 gamma=90.00
Sites, in units of the cell vectors:
1 Ti 0.000 0.000 0.000
2 Se 0.500 0.000 0.000
3 Se 0.000 0.500 0.000
4 C 0.500 0.500 0.500
5 N 0.000 0.000 0.500

Calculated values
Size of the total moment in Bohr magnetons per cell: 0.9
SG: P4/mmm (123)
E above lowest polymorph in eV per formula unit: 3.34
Uncorrected formation energy in eV per atom: 1.298

First-principles (PBE) data for a relaxed CdAs2PdF crystal, as listed in Alexandria via LeMat-Bulk.

Unit cell a=4.513 b=4.624 c=4.513 alpha=90.00 beta=90.00 gamma=90.00
Sites, in units of the cell vectors:
1 As 0.500 0.000 0.000
2 As 0.000 0.000 0.500
3 F 0.000 0.000 0.000
4 Pd 0.000 0.500 0.000
5 Cd 0.500 0.500 0.500

Calculated values
Size of the total moment in Bohr magnetons per cell: 0.0
SG: P4/mmm (123)
Uncorrected formation energy in eV per atom: 0.147

First-principles (PBE) data for a relaxed Cs2ScNCl6 crystal, as listed in Alexandria via LeMat-Bulk.

Unit cell a=6.787 b=6.787 c=7.833 alpha=64.33 beta=64.33 gamma=90.00
Sites, in units of the cell vectors:
1 Cs 0.750 0.250 0.500
2 Cs 0.250 0.750 0.500
3 Sc 0.000 0.000 0.000
4 Cl 0.735 0.265 0.000
5 Cl 0.735 0.735 0.000
6 Cl 0.265 0.735 0.000
7 Cl 0.801 0.801 0.398
8 Cl 0.199 0.199 0.602
9 Cl 0.265 0.265 0.000
10 N 0.500 0.500 0.000

Calculated values
Size of the total moment in Bohr magnetons per cell: 0.0
SG: I4/mmm (139)
Uncorrected formation energy in eV per atom: -1.101

First-principles (PBE) data for a relaxed SrHgRh crystal, as listed in Alexandria via LeMat-Bulk.

Unit cell a=4.745 b=8.060 c=7.800 alpha=90.00 beta=90.00 gamma=90.00
Sites, in units of the cell vectors:
1 Sr 0.250 0.197 0.427
2 Sr 0.750 0.697 0.927
3 Sr 0.750 0.803 0.427
4 Sr 0.250 0.303 0.927
5 Rh 0.750 0.443 0.620
6 Rh 0.250 0.943 0.120
7 Rh 0.250 0.557 0.620
8 Rh 0.750 0.057 0.120
9 Hg 0.250 0.610 0.233
10 Hg 0.750 0.110 0.733
11 Hg 0.250 0.890 0.733
12 Hg 0.750 0.390 0.233

Calculated values
Size of the total moment in Bohr magnetons per cell: 0.3
SG: Ima2 (46)
Formation energy from the elements in eV/atom: -0.290

First-principles (PBE) data for a relaxed Tm2Cd5Pd crystal, as listed in Alexandria via LeMat-Bulk.

Unit cell a=4.352 b=6.493 c=12.758 alpha=90.00 beta=90.00 gamma=90.00
Sites, in units of the cell vectors:
1 Cd 0.000 0.447 0.756
2 Cd 0.000 0.947 0.744
3 Cd 0.000 0.000 0.000
4 Cd 0.500 0.207 0.867
5 Cd 0.500 0.293 0.367
6 Cd 0.500 0.707 0.633
7 Cd 0.000 0.500 0.500
8 Cd 0.000 0.553 0.244
9 Cd 0.000 0.053 0.256
10 Cd 0.500 0.793 0.133
11 Pd 0.000 0.000 0.500
12 Pd 0.000 0.500 0.000
13 Tm 0.500 0.198 0.610
14 Tm 0.500 0.698 0.890
15 Tm 0.500 0.302 0.110
16 Tm 0.500 0.802 0.390

Calculated values
Size of the total moment in Bohr magnetons per cell: 0.0
SG: Pbam (55)
E above lowest polymorph in eV per formula unit: 0.00
Formation energy from the elements in eV/atom: -0.321

First-principles (PBE) data for a relaxed PIr3Cl crystal, as listed in Alexandria via LeMat-Bulk.

Unit cell a=4.472 b=4.472 c=4.472 alpha=90.00 beta=90.00 gamma=90.00
Sites, in units of the cell vectors:
1 P 0.000 0.000 0.000
2 Ir 0.000 0.500 0.000
3 Ir 0.000 0.000 0.500
4 Ir 0.500 0.000 0.000
5 Cl 0.500 0.500 0.500

Calculated values
Size of the total moment in Bohr magnetons per cell: 0.0
SG: Pm-3m (221)
E above lowest polymorph in eV per formula unit: 0.00
Uncorrected formation energy in eV per atom: 1.011

First-principles (PBE) data for a relaxed LaAgSN2 crystal, as listed in Alexandria via LeMat-Bulk.

Unit cell a=4.103 b=4.103 c=6.254 alpha=90.00 beta=90.00 gamma=90.00
Sites, in units of the cell vectors:
1 N 0.500 0.000 0.000
2 N 0.000 0.500 0.000
3 S 0.000 0.000 0.500
4 Ag 0.500 0.500 0.500
5 La 0.000 0.000 0.000

Calculated values
Size of the total moment in Bohr magnetons per cell: 0.0
SG: P4/mmm (123)
E above lowest polymorph in eV per formula unit: 1.89
Uncorrected formation energy in eV per atom: 0.878

First-principles (PBE) data for a relaxed CrRe3Sn crystal, as listed in Alexandria via LeMat-Bulk.

Unit cell a=4.496 b=4.496 c=4.496 alpha=90.00 beta=90.00 gamma=90.00
Sites, in units of the cell vectors:
1 Re 0.500 0.000 0.000
2 Re 0.000 0.000 0.500
3 Re 0.000 0.500 0.000
4 Sn 0.500 0.500 0.500
5 Cr 0.000 0.000 0.000

Calculated values
Size of the total moment in Bohr magnetons per cell: 0.0
SG: Pm-3m (221)
Formation energy from the elements in eV/atom: 1.497

First-principles (PBE) data for a relaxed Tm5OsRh2 crystal, as listed in Alexandria via LeMat-Bulk.

Unit cell a=4.280 b=7.239 c=11.833 alpha=90.00 beta=90.00 gamma=90.00
Sites, in units of the cell vectors:
1 Rh 0.500 0.048 0.335
2 Rh 0.500 0.952 0.665
3 Rh 0.500 0.452 0.835
4 Rh 0.500 0.548 0.165
5 Os 0.000 0.000 0.000
6 Os 0.000 0.500 0.500
7 Tm 0.500 0.825 0.907
8 Tm 0.000 0.338 0.293
9 Tm 0.000 0.000 0.500
10 Tm 0.000 0.662 0.707
11 Tm 0.000 0.838 0.207
12 Tm 0.500 0.675 0.407
13 Tm 0.500 0.175 0.093
14 Tm 0.500 0.325 0.593
15 Tm 0.000 0.500 0.000
16 Tm 0.000 0.162 0.793

Calculated values
Size of the total moment in Bohr magnetons per cell: 0.0
SG: Pbam (55)
Formation energy from the elements in eV/atom: -0.584

First-principles (PBE) data for a relaxed NpIn2Br4Cl2 crystal, as listed in Alexandria via LeMat-Bulk.

Unit cell a=7.026 b=7.727 c=7.727 alpha=60.89 beta=74.59 gamma=74.59
Sites, in units of the cell vectors:
1 Cl 0.193 0.169 0.169
2 Cl 0.807 0.831 0.831
3 Np 0.500 0.000 0.000
4 In 0.283 0.723 0.723
5 In 0.717 0.277 0.277
6 Br 0.679 0.846 0.340
7 Br 0.321 0.660 0.154
8 Br 0.321 0.154 0.660
9 Br 0.679 0.340 0.846

Calculated values
Size of the total moment in Bohr magnetons per cell: 3.0
SG: C2/m (12)
Uncorrected formation energy in eV per atom: -1.104

First-principles (PBE) data for a relaxed LaY8Ho2 crystal, as listed in Alexandria via LeMat-Bulk.

Unit cell a=5.553 b=10.264 c=10.264 alpha=39.90 beta=92.71 gamma=92.71
Sites, in units of the cell vectors:
1 Y 0.732 0.402 0.868
2 Y 0.732 0.868 0.402
3 Y 0.765 0.811 0.811
4 Y 0.268 0.132 0.598
5 Y 0.762 0.453 0.453
6 Y 0.235 0.189 0.189
7 Y 0.238 0.547 0.547
8 Y 0.268 0.598 0.132
9 Ho 0.752 0.285 0.285
10 Ho 0.248 0.715 0.715
11 La 0.000 0.000 0.000

Calculated values
Size of the total moment in Bohr magnetons per cell: 0.0
SG: C2/m (12)
E above lowest polymorph in eV per formula unit: 0.18
Formation energy from the elements in eV/atom: 0.133

First-principles (PBE) data for a relaxed CuTeCl crystal, as listed in Alexandria via LeMat-Bulk.

Unit cell a=4.623 b=4.623 c=4.623 alpha=60.00 beta=60.00 gamma=60.00
Sites, in units of the cell vectors:
1 Te 0.000 0.000 0.000
2 Cu 0.750 0.750 0.750
3 Cl 0.500 0.500 0.500

Calculated values
Size of the total moment in Bohr magnetons per cell: 0.0
SG: F-43m (216)
Uncorrected formation energy in eV per atom: 0.297

First-principles (PBE) data for a relaxed MnAgW2 crystal, as listed in Alexandria via LeMat-Bulk.

Unit cell a=2.712 b=2.712 c=8.617 alpha=90.00 beta=90.00 gamma=90.00
Sites, in units of the cell vectors:
1 Mn 0.500 0.500 0.759
2 W 0.500 0.500 0.247
3 W 0.000 0.000 0.984
4 Ag 0.000 0.000 0.510

Calculated values
Size of the total moment in Bohr magnetons per cell: 3.0
SG: P4mm (99)
E above lowest polymorph in eV per formula unit: 0.42
Formation energy from the elements in eV/atom: 0.432

First-principles (PBE) data for a relaxed TbNd2Tl3Se6 crystal, as listed in Alexandria via LeMat-Bulk.

Unit cell a=7.422 b=7.422 c=8.145 alpha=98.74 beta=98.74 gamma=119.99
Sites, in units of the cell vectors:
1 Se 0.931 0.604 0.792
2 Se 0.744 0.744 0.210
3 Se 0.069 0.396 0.208
4 Se 0.256 0.256 0.790
5 Se 0.396 0.069 0.208
6 Se 0.604 0.931 0.792
7 Nd 0.333 0.667 0.000
8 Nd 0.667 0.333 0.000
9 Tb 0.000 0.000 0.000
10 Tl 0.168 0.832 0.500
11 Tl 0.500 0.500 0.500
12 Tl 0.832 0.168 0.500

Calculated values
Size of the total moment in Bohr magnetons per cell: 0.0
SG: C2/m (12)
Uncorrected formation energy in eV per atom: -1.381

First-principles (PBE) data for a relaxed MgTaPt2 crystal, as listed in Alexandria via LeMat-Bulk.

Unit cell a=5.039 b=5.039 c=4.862 alpha=81.66 beta=81.66 gamma=32.87
Sites, in units of the cell vectors:
1 Ta 0.491 0.491 0.548
2 Pt 0.003 0.003 0.048
3 Pt 0.747 0.747 0.707
4 Mg 0.259 0.259 0.198

Calculated values
Size of the total moment in Bohr magnetons per cell: 0.0
SG: Cm (8)
Formation energy from the elements in eV/atom: -0.663

First-principles (PBE) data for a relaxed ErZnNiRh crystal, as listed in Alexandria via LeMat-Bulk.

Unit cell a=4.492 b=4.492 c=4.492 alpha=60.00 beta=60.00 gamma=60.00
Sites, in units of the cell vectors:
1 Rh 0.750 0.750 0.750
2 Er 0.000 0.000 0.000
3 Zn 0.500 0.500 0.500
4 Ni 0.250 0.250 0.250

Calculated values
Size of the total moment in Bohr magnetons per cell: 0.0
SG: F-43m (216)
Formation energy from the elements in eV/atom: -0.505

First-principles (PBE) data for a relaxed Cd2Ga crystal, as listed in Alexandria via LeMat-Bulk.

Unit cell a=3.464 b=3.464 c=6.007 alpha=106.76 beta=106.76 gamma=90.00
Sites, in units of the cell vectors:
1 Ga 0.000 0.000 0.000
2 Cd 0.338 0.338 0.677
3 Cd 0.662 0.662 0.323

Calculated values
Size of the total moment in Bohr magnetons per cell: 0.0
SG: I4/mmm (139)
Formation energy from the elements in eV/atom: 0.063

First-principles (PBE) data for a relaxed K2NaLiBr4 crystal, as listed in Alexandria via LeMat-Bulk.

Unit cell a=8.822 b=8.822 c=8.870 alpha=120.16 beta=120.16 gamma=89.85
Sites, in units of the cell vectors:
1 Li 0.000 0.000 0.000
2 Li 0.500 0.500 0.500
3 Na 0.000 0.500 0.000
4 Na 0.000 0.500 0.500
5 K 0.500 0.000 0.000
6 K 0.000 0.000 0.500
7 K 0.500 0.000 0.500
8 K 0.500 0.500 0.000
9 Br 0.759 0.742 0.972
10 Br 0.242 0.259 0.472
11 Br 0.750 0.284 0.517
12 Br 0.784 0.250 0.017
13 Br 0.216 0.750 0.983
14 Br 0.241 0.258 0.028
15 Br 0.758 0.741 0.528
16 Br 0.250 0.716 0.483

Calculated values
Size of the total moment in Bohr magnetons per cell: 0.0
SG: Imma (74)
Uncorrected formation energy in eV per atom: -1.607